ZrScPt (GGA-PBE, optimized geometry); space group = F-43m, No. 216; ΔH_f (0 K) = -0.6935 eV/atom; offset from the most stable computed form = 0 meV per atom
1.0
0.000 3.228 3.228
3.228 0.000 3.228
3.228 3.228 0.000
Zr Sc Pt
1 1 1
Direct
0.000 0.000 0.000
0.500 0.500 0.500
0.750 0.750 0.750